An optimized crystal structure of KBaV2. Source: Alexandria via LeMat-Bulk, functional PBE.

```
data_KBaV2
_chemical_formula_sum 'K1 Ba1 V2'
_cell_length_a 5.8631
_cell_length_b 5.8631
_cell_length_c 5.8631
_cell_angle_alpha 60.00
_cell_angle_beta 60.00
_cell_angle_gamma 60.00
_space_group_name_H-M_alt 'P 1'
_space_group_IT_number 1
loop_
_space_group_symop_operation_xyz
'x,y,z'
loop_
_atom_site_label
_atom_site_type_symbol
_atom_site_fract_x
_atom_site_fract_y
_atom_site_fract_z
K1 K 0.0000 0.0000 0.0000
Ba1 Ba 0.5000 0.5000 0.5000
V1 V 0.2500 0.2500 0.2500
V2 V 0.7500 0.7500 0.7500
```

Values from the calculation:
total DFT energy (no corrections) = -15.72 eV per cell
symmetry = Fm-3m
formation energy = 1.384 eV per atom

***

An optimized crystal structure of MgPtBr. Source: Alexandria via LeMat-Bulk, functional PBE.

```
data_MgPtBr
_chemical_formula_sum 'Mg1 Pt1 Br1'
_cell_length_a 4.5715
_cell_length_b 4.5715
_cell_length_c 3.2458
_cell_angle_alpha 90.00
_cell_angle_beta 90.00
_cell_angle_gamma 120.00
_space_group_name_H-M_alt 'P 1'
_space_group_IT_number 1
loop_
_space_group_symop_operation_xyz
'x,y,z'
loop_
_atom_site_label
_atom_site_type_symbol
_atom_site_fract_x
_atom_site_fract_y
_atom_site_fract_z
Mg1 Mg 0.0000 0.0000 0.0000
Pt1 Pt 0.3333 0.6667 0.4733
Br1 Br 0.6667 0.3333 0.5128
```

Values from the calculation:
total DFT energy (no corrections) = -9.68 eV per cell
symmetry = P3m1
energy relative to the elements, uncorrected = -125 meV/atom

***

An optimized crystal structure of KBi2Au. Source: Alexandria via LeMat-Bulk, functional PBE.

```
data_KBi2Au
_chemical_formula_sum 'K2 Bi4 Au2'
_cell_length_a 11.4108
_cell_length_b 11.4108
_cell_length_c 11.4108
_cell_angle_alpha 154.60
_cell_angle_beta 154.60
_cell_angle_gamma 36.24
_space_group_name_H-M_alt 'P 1'
_space_group_IT_number 1
loop_
_space_group_symop_operation_xyz
'x,y,z'
loop_
_atom_site_label
_atom_site_type_symbol
_atom_site_fract_x
_atom_site_fract_y
_atom_site_fract_z
K1 K 0.0000 0.0000 0.0000
K2 K 0.7500 0.2500 0.5000
Bi1 Bi 0.1980 0.6250 0.0730
Bi2 Bi 0.3750 0.4480 0.5730
Bi3 Bi 0.5520 0.1250 0.9270
Bi4 Bi 0.8750 0.8020 0.4270
Au1 Au 0.2500 0.7500 0.5000
Au2 Au 0.5000 0.5000 0.0000
```

Values from the calculation:
total DFT energy (no corrections) = -24.95 eV per cell
symmetry = I-42d
formation energy = -0.084 eV per atom

***

An optimized crystal structure of Ti7SnHg3. Source: Alexandria via LeMat-Bulk, functional PBE.

```
data_Ti7SnHg3
_chemical_formula_sum 'Ti7 Sn1 Hg3'
_cell_length_a 7.1044
_cell_length_b 7.1044
_cell_length_c 7.1044
_cell_angle_alpha 137.72
_cell_angle_beta 104.99
_cell_angle_gamma 90.08
_space_group_name_H-M_alt 'P 1'
_space_group_IT_number 1
loop_
_space_group_symop_operation_xyz
'x,y,z'
loop_
_atom_site_label
_atom_site_type_symbol
_atom_site_fract_x
_atom_site_fract_y
_atom_site_fract_z
Ti1 Ti 0.0000 0.0000 0.0000
Ti2 Ti 0.0855 0.7562 0.3293
Ti3 Ti 0.3178 0.5000 0.8178
Ti4 Ti 0.4268 0.7562 0.6707
Ti5 Ti 0.5732 0.2438 0.3293
Ti6 Ti 0.6822 0.5000 0.1822
Ti7 Ti 0.9145 0.2438 0.6707
Sn1 Sn 0.0000 0.5000 0.5000
Hg1 Hg 0.2704 0.2704 0.0000
Hg2 Hg 0.5000 0.0000 0.5000
Hg3 Hg 0.7296 0.7296 0.0000
```

Values from the calculation:
total DFT energy (no corrections) = -57.79 eV per cell
symmetry = Immm
formation energy = 0.217 eV per atom